VASP calculation (PBE) on crystalline K2CuCl at its relaxed geometry.

```
K2CuCl
1.0
0.000 3.950 3.950
3.950 0.000 3.950
3.950 3.950 0.000
K Cu Cl
2 1 1
direct
0.250 0.250 0.250
0.750 0.750 0.750
0.000 0.000 0.000
0.500 0.500 0.500
```

Crystal system: cubic
Fermi-level density of states: 0.00 states/eV per atom
Space group: No. 225
Electronic total energy: -2.66 eV/atom
E_form (uncorrected): -0.62 eV per atom